4
Lattice="1.417 0.818 8.793 -1.417 0.818 8.793 0.000 -1.637 8.793" Properties=species:S:1:pos:R:3 comment="CdCu2Si, optimized geometry, DFT GGA-PBE" dos_at_fermi_per_ev_fu=2.06 e_above_lowest_polymorph_mev_per_atom=110 spacegroup="R3m, No. 160" final_energy_ev_per_atom=-3.440 raw_formation_energy_ev_per_atom=0.1924 pbc="T T T"
Cd 0.000 0.000 0.000
Cu 0.000 0.000 6.492
Cu 0.000 0.000 13.345
Si 0.000 0.000 20.265